No. 1
Crystalline RbTbSbSe3 at its relaxed geometry. Source: the Open Quantum Materials Database, functional PBE.

CIF file:
```
data_RbTbSbSe3
_chemical_formula_sum 'Rb4 Tb4 Sb4 Se12'
_symmetry_space_group_name_H-M 'C m c m'
_symmetry_Int_Tables_number 63
_symmetry_space_group_name_Hall '-C 2c 2'
_cell_length_a 4.005
_cell_length_b 17.099
_cell_length_c 11.895
_cell_angle_alpha 90.00
_cell_angle_beta 90.00
_cell_angle_gamma 90.00
loop_
_atom_site_label
_atom_site_fract_x
_atom_site_fract_y
_atom_site_fract_z
_atom_site_occupancy
Rb1 0.000 0.191 0.250 1
Tb1 0.000 0.500 0.000 1
Sb1 0.000 0.114 0.750 1
Se1 0.000 0.118 0.513 1
Se2 0.000 0.488 0.750 1
```

Calculated values
- Size of the total moment: 0.01 μB/f.u.
- Raw total energy: -4.36 eV/atom

---

No. 2
Crystalline PaAgO3 at its relaxed geometry. Source: the Open Quantum Materials Database, functional PBE.

CIF file:
```
data_PaAgO3
_chemical_formula_sum 'Pa4 Ag4 O12'
_symmetry_space_group_name_H-M 'P n m a'
_symmetry_Int_Tables_number 62
_symmetry_space_group_name_Hall '-P 2ac 2n'
_cell_length_a 6.059
_cell_length_b 8.489
_cell_length_c 5.883
_cell_angle_alpha 90.00
_cell_angle_beta 90.00
_cell_angle_gamma 90.00
loop_
_atom_site_label
_atom_site_fract_x
_atom_site_fract_y
_atom_site_fract_z
_atom_site_occupancy
Pa1 0.000 0.000 0.000 1
Ag1 0.001 0.250 0.496 1
O1 0.030 0.250 0.103 1
O2 0.201 0.054 0.698 1
```

Calculated values
- Size of the total moment: 0.00 μB/f.u.
- Raw total energy: -7.50 eV/atom

---

No. 3
Crystalline GdAuNO at its relaxed geometry. Source: the Open Quantum Materials Database, functional PBE.

CIF file:
```
data_GdAuNO
_chemical_formula_sum 'Gd4 Au4 N4 O4'
_symmetry_space_group_name_H-M 'P c a 21'
_symmetry_Int_Tables_number 29
_symmetry_space_group_name_Hall 'P 2c -2ac'
_cell_length_a 7.095
_cell_length_b 6.753
_cell_length_c 5.040
_cell_angle_alpha 90.00
_cell_angle_beta 90.00
_cell_angle_gamma 90.00
loop_
_atom_site_label
_atom_site_fract_x
_atom_site_fract_y
_atom_site_fract_z
_atom_site_occupancy
Gd1 0.081 0.178 0.000 1
Au1 0.144 0.703 0.991 1
N1 0.093 0.119 0.511 1
O1 0.104 0.553 0.411 1
```

Calculated values
- Excess energy over the best structure of this formula in the dataset: 393.4 meV/atom
- Size of the total moment: 0.00 μB/f.u.

---

No. 4
Crystalline LuBNO at its relaxed geometry. Source: the Open Quantum Materials Database, functional PBE.

CIF file:
```
data_LuBNO
_chemical_formula_sum 'Lu2 B2 N2 O2'
_symmetry_space_group_name_H-M 'P 4/n m m'
_symmetry_Int_Tables_number 129
_cell_length_a 4.587
_cell_length_b 4.587
_cell_length_c 4.359
_cell_angle_alpha 90.00
_cell_angle_beta 90.00
_cell_angle_gamma 90.00
loop_
_symmetry_equiv_pos_as_xyz
'x,y,z'
'-x,-y,-z'
'-y+1/2,x,z'
'y+1/2,-x,-z'
'-x+1/2,-y+1/2,z'
'x+1/2,y+1/2,-z'
'y,-x+1/2,z'
'-y,x+1/2,-z'
'x+1/2,-y,-z'
'-x+1/2,y,z'
'-y,-x,-z'
'y,x,z'
'-x,y+1/2,-z'
'x,-y+1/2,z'
'y+1/2,x+1/2,-z'
'-y+1/2,-x+1/2,z'
loop_
_atom_site_label
_atom_site_fract_x
_atom_site_fract_y
_atom_site_fract_z
_atom_site_occupancy
Lu1 0.250 0.750 0.000 1
B1 0.250 0.250 0.414 1
N1 0.250 0.250 0.098 1
O1 0.250 0.750 0.500 1
```

Calculated values
- Excess energy over the best structure of this formula in the dataset: 474.8 meV/atom
- Size of the total moment: 0.47 μB/f.u.

---

No. 5
Crystalline Dy2S at its relaxed geometry. Source: the Open Quantum Materials Database, functional PBE.

CIF file:
```
data_Dy2S
_chemical_formula_sum 'Dy4 S2'
_symmetry_space_group_name_H-M 'P 42/m n m'
_symmetry_Int_Tables_number 136
_symmetry_space_group_name_Hall '-P 4n 2n'
_cell_length_a 6.411
_cell_length_b 6.411
_cell_length_c 3.892
_cell_angle_alpha 90.00
_cell_angle_beta 90.00
_cell_angle_gamma 90.00
loop_
_atom_site_label
_atom_site_fract_x
_atom_site_fract_y
_atom_site_fract_z
_atom_site_occupancy
Dy1 0.206 0.206 0.000 1
S1 0.000 0.000 0.500 1
```

Calculated values
- Size of the total moment: 0.01 μB/f.u.
- Raw total energy: -5.68 eV/atom

---

No. 6
Crystalline Mg3Tc at its relaxed geometry. Source: the Open Quantum Materials Database, functional PBE.

CIF file:
```
data_Mg3Tc
_chemical_formula_sum 'Mg6 Tc2'
_symmetry_space_group_name_H-M 'P m m n'
_symmetry_Int_Tables_number 59
_cell_length_a 4.769
_cell_length_b 5.765
_cell_length_c 5.184
_cell_angle_alpha 90.00
_cell_angle_beta 90.00
_cell_angle_gamma 90.00
loop_
_symmetry_equiv_pos_as_xyz
'x,y,z'
'-x,-y,-z'
'-x+1/2,-y+1/2,z'
'x+1/2,y+1/2,-z'
'x+1/2,-y,-z'
'-x+1/2,y,z'
'-x,y+1/2,-z'
'x,-y+1/2,z'
loop_
_atom_site_label
_atom_site_fract_x
_atom_site_fract_y
_atom_site_fract_z
_atom_site_occupancy
Mg1 0.250 0.002 0.163 1
Mg2 0.250 0.750 0.640 1
Tc1 0.250 0.250 0.651 1
```

Calculated values
- Size of the total moment: 0.41 μB/f.u.
- Raw total energy: -3.52 eV/atom